# 1
An optimized crystal structure of Pm2NdBi. Source: Alexandria, functional PBE.

Summary:
- total magnetization (μB per cell) = 0.01
- E_form (eV/atom) = -0.374
- calculated density (g/cm3) = 8.24
- energy (Ry/atom) = -0.3610
- space group = No. 123
- E above lowest polymorph (eV per atom) = 0.081

Unit cell a=4.1733 b=4.1733 c=7.4422 alpha=90.00 beta=90.00 gamma=90.00
Closest atoms and distances in Å follow each position.
Fractional positions:
Pm: 0.0000 0.0000 0.2228  1 Pm 3.32, 4 Bi 3.38, 4 Nd 3.60
Pm: 0.0000 0.0000 0.7772  1 Pm 3.32, 4 Bi 3.38, 4 Nd 3.60
Nd: 0.5000 0.5000 0.5000  8 Pm 3.60, 2 Bi 3.72
Bi: 0.5000 0.5000 0.0000  8 Pm 3.38, 2 Nd 3.72

---

# 2
An optimized crystal structure of PrCuB. Source: Alexandria, functional PBE.

Summary:
- total magnetization (μB per cell) = 0.73
- E_form (eV/atom) = -0.199
- calculated density (g/cm3) = 6.92
- energy (Ry/atom) = -0.3956
- space group = No. 63

Unit cell a=3.7237 b=17.5051 c=3.1707 alpha=90.00 beta=90.00 gamma=90.00
Closest atoms and distances in Å follow each position.
Fractional positions:
Pr: 0.0000 0.1028 0.2500  6 B 2.76-2.90, 1 Cu 3.01
Pr: 0.0000 0.8972 0.7500  6 B 2.76-2.90, 1 Cu 3.01
Pr: 0.5000 0.3972 0.7500  6 B 2.76-2.90, 1 Cu 3.01
Pr: 0.5000 0.6028 0.2500  6 B 2.76-2.90, 1 Cu 3.01
Cu: 0.0000 0.2745 0.2500  4 Cu 2.59
Cu: 0.0000 0.7255 0.7500  4 Cu 2.59
Cu: 0.5000 0.2255 0.7500  4 Cu 2.59
Cu: 0.5000 0.7745 0.2500  4 Cu 2.59
B: 0.0000 0.4867 0.2500  2 B 1.65
B: 0.0000 0.5133 0.7500  2 B 1.65
B: 0.5000 0.0133 0.7500  2 B 1.65
B: 0.5000 0.9867 0.2500  2 B 1.65

---

# 3
An optimized crystal structure of BaNd2Zn2Ge2. Source: Alexandria, functional PBE.

Summary:
- total magnetization (μB per cell) = 1.13
- E_form (eV/atom) = -0.398
- calculated density (g/cm3) = 5.96
- energy (Ry/atom) = -0.2733
- space group = No. 166

Unit cell a=12.4769 b=12.4769 c=12.4769 alpha=19.83 beta=19.83 gamma=19.83
Closest atoms and distances in Å follow each position.
Fractional positions:
Ba: 0.0000 0.0000 0.0000  6 Ge 3.55, 6 Zn 3.64
Nd: 0.1250 0.1250 0.1250  3 Zn 3.14, 3 Ge 3.22
Nd: 0.8750 0.8750 0.8750  3 Zn 3.14, 3 Ge 3.22
Zn: 0.4061 0.4061 0.4061  3 Ge 2.48
Zn: 0.5939 0.5939 0.5939  3 Ge 2.48
Ge: 0.2642 0.2642 0.2642  3 Zn 2.48
Ge: 0.7358 0.7358 0.7358  3 Zn 2.48

---

# 4
An optimized crystal structure of Nd2Ho5Th4. Source: Alexandria, functional PBE.

Summary:
- total magnetization (μB per cell) = 0.00
- E_form (eV/atom) = 0.118
- calculated density (g/cm3) = 9.34
- energy (Ry/atom) = -0.4063
- space group = No. 12

Unit cell a=12.1984 b=12.1984 c=8.6301 alpha=94.31 beta=94.31 gamma=16.47
Closest atoms and distances in Å follow each position.
Fractional positions:
Nd: 0.2261 0.2261 0.3244  6 Ho 3.47-3.60, 4 Nd 3.49-3.61, 1 Th 3.55
Nd: 0.7739 0.7739 0.6756  6 Ho 3.47-3.60, 4 Nd 3.49-3.61, 1 Th 3.55
Ho: 0.0000 0.0000 0.5000  6 Ho 3.49-3.57, 6 Th 3.53-3.57
Ho: 0.3152 0.3152 0.0268  3 Nd 3.47-3.57, 3 Th 3.49-3.59, 5 Ho 3.49-3.87
Ho: 0.3708 0.3708 0.4597  3 Th 3.48-3.64, 5 Ho 3.49-3.87, 3 Nd 3.56-3.60
Ho: 0.6292 0.6292 0.5403  3 Th 3.48-3.64, 5 Ho 3.49-3.87, 3 Nd 3.56-3.60
Ho: 0.6848 0.6848 0.9732  3 Nd 3.47-3.57, 3 Th 3.49-3.59, 5 Ho 3.49-3.87
Th: 0.0842 0.0842 0.1825  6 Th 3.45-3.55, 5 Ho 3.53-3.64, 1 Nd 3.55
Th: 0.4559 0.4559 0.1519  7 Th 3.45-3.55, 4 Ho 3.48-3.57
Th: 0.5441 0.5441 0.8481  7 Th 3.45-3.55, 4 Ho 3.48-3.57
Th: 0.9158 0.9158 0.8175  6 Th 3.45-3.55, 5 Ho 3.53-3.64, 1 Nd 3.55

---

# 5
An optimized crystal structure of Ba2CdFe. Source: Alexandria, functional PBE.

Summary:
- total magnetization (μB per cell) = 4.53
- E_form (eV/atom) = 0.314
- calculated density (g/cm3) = 5.42
- energy (Ry/atom) = -0.2199
- space group = No. 8

Unit cell a=13.1066 b=4.0235 c=5.7037 alpha=90.00 beta=115.56 gamma=90.00
Closest atoms and distances in Å follow each position.
Fractional positions:
Ba: 0.0000 0.0000 0.0000  4 Fe 3.56-3.57, 2 Ba 3.68, 4 Cd 3.81-3.92
Ba: 0.1969 0.0000 0.6955  4 Cd 3.64, 4 Fe 3.66-4.05, 4 Ba 3.68-4.02
Ba: 0.5000 0.5000 0.0000  4 Fe 3.56-3.57, 2 Ba 3.68, 4 Cd 3.81-3.92
Ba: 0.6969 0.5000 0.6955  4 Cd 3.64, 4 Fe 3.66-4.05, 4 Ba 3.68-4.02
Cd: 0.2843 0.5000 0.2830  2 Fe 2.71
Cd: 0.7843 0.0000 0.2830  2 Fe 2.71
Fe: 0.4383 0.0000 0.4391  2 Cd 2.71
Fe: 0.9383 0.5000 0.4391  2 Cd 2.71

---

# 6
An optimized crystal structure of Rb2CdPb. Source: Alexandria, functional PBE.

Summary:
- total magnetization (μB per cell) = 7.95
- E_form (eV/atom) = 0.101
- calculated density (g/cm3) = 4.45
- energy (Ry/atom) = -0.1131
- space group = No. 225

Unit cell a=9.0162 b=9.0162 c=9.0162 alpha=90.00 beta=90.00 gamma=90.00
Closest atoms and distances in Å follow each position.
Fractional positions:
Rb: 0.2500 0.2500 0.2500  4 Cd 3.90, 4 Pb 3.90
Rb: 0.2500 0.2500 0.7500  4 Cd 3.90, 4 Pb 3.90
Rb: 0.2500 0.7500 0.2500  4 Cd 3.90, 4 Pb 3.90
Rb: 0.2500 0.7500 0.7500  4 Cd 3.90, 4 Pb 3.90
Rb: 0.7500 0.2500 0.2500  4 Cd 3.90, 4 Pb 3.90
Rb: 0.7500 0.2500 0.7500  4 Cd 3.90, 4 Pb 3.90
Rb: 0.7500 0.7500 0.2500  4 Cd 3.90, 4 Pb 3.90
Rb: 0.7500 0.7500 0.7500  4 Cd 3.90, 4 Pb 3.90
Cd: 0.0000 0.0000 0.0000  8 Rb 3.90
Cd: 0.0000 0.5000 0.5000  8 Rb 3.90
Cd: 0.5000 0.0000 0.5000  8 Rb 3.90
Cd: 0.5000 0.5000 0.0000  8 Rb 3.90
Pb: 0.0000 0.0000 0.5000  8 Rb 3.90
Pb: 0.0000 0.5000 0.0000  8 Rb 3.90
Pb: 0.5000 0.0000 0.0000  8 Rb 3.90
Pb: 0.5000 0.5000 0.5000  8 Rb 3.90